1.
Li2LaTb2Sn2: relaxed, PBE.

The space group is R-3m (No. 166, hexagonal axes) and the conventional cell measures 4.8472, 4.8472 and 27.3407 Å, with angles of 90.00, 90.00 and 120.00 degrees. The distinct sites, in fractional coordinates, are Li at (0.0000, 0.0000, 0.0864), La at (0.0000, 0.0000, 0.5000), Tb at (0.0000, 0.0000, 0.3691) and Sn at (0.0000, 0.0000, 0.2415).

The electronic total energy comes out at -0.154 hartree per atom. As for the density of states at the Fermi level: 13.18 states/eV/cell. The value obtained for the formation energy is -0.49 eV per atom. The calculation puts the size of the total moment at 0.000 μB/cell.

2.
Pr2PuFeN5: relaxed, PBE.

The space group is Cmc2_1 (No. 36) and the conventional cell measures 3.474, 13.991 and 10.475 Å, with angles of 90.00, 90.00 and 90.00 degrees. The distinct sites, in fractional coordinates, are Pr at (0.000, 0.111, 0.000), Pr at (0.000, 0.134, 0.649), Pu at (0.000, 0.194, 0.343), Fe at (0.000, 0.461, 0.752), N at (0.000, 0.031, 0.318), N at (0.000, 0.293, 0.978), N at (0.000, 0.327, 0.707), N at (0.000, 0.342, 0.328) and N at (0.000, 0.492, 0.096).

The electronic total energy comes out at -0.333 hartree per atom. As for the density of states at the Fermi level: 36.06 states/eV/cell. The calculation puts the size of the total moment at 18.843 μB/cell. The calculation puts the formation energy from raw total energies at -7.57 eV per formula unit.

3.
K2MgFe: relaxed, PBE.

The space group is Pmmm (No. 47) and the conventional cell measures 4.908, 4.930 and 5.600 Å, with angles of 90.00, 90.00 and 90.00 degrees. The distinct sites, in fractional coordinates, are K at (0.000, 0.000, 0.000), K at (0.500, 0.500, 0.000), Mg at (0.000, 0.500, 0.500) and Fe at (0.500, 0.000, 0.500).

The electronic total energy comes out at -0.081 hartree per atom. As for the density of states at the Fermi level: 3.53 states/eV/cell. The value obtained for the formation energy is 0.86 eV per atom. The calculation puts the size of the total moment at 2.893 μB/cell.

4.
ZnHg3B: relaxed, PBE.

The space group is Pm-3m (No. 221) and the conventional cell measures 5.166, 5.166 and 5.166 Å, with angles of 90.00, 90.00 and 90.00 degrees. The distinct sites, in fractional coordinates, are Zn at (0.000, 0.000, 0.000), Hg at (0.000, 0.000, 0.500) and B at (0.500, 0.500, 0.500).

The electronic total energy comes out at -0.023 hartree per atom. As for the density of states at the Fermi level: 3.44 states/eV/cell. The value obtained for the formation energy is 1.13 eV per atom. The calculation puts the size of the total moment at 0.000 μB/cell.

5.
Pu2PaAu: relaxed, PBE.

The space group is P4/mmm (No. 123) and the conventional cell measures 3.512, 3.512 and 7.652 Å, with angles of 90.00, 90.00 and 90.00 degrees. The distinct sites, in fractional coordinates, are Pu at (0.000, 0.000, 0.242), Pa at (0.500, 0.500, 0.500) and Au at (0.500, 0.500, 0.000).

The electronic total energy comes out at -0.385 hartree per atom. As for the density of states at the Fermi level: 12.03 states/eV/cell. The value obtained for the formation energy is -0.11 eV per atom. The calculation puts the size of the total moment at 10.868 μB/cell.

6.
KCa2In6: relaxed, PBE.

The space group is C2/m (No. 12) and the conventional cell measures 15.755, 8.602 and 4.135 Å, with angles of 90.00, 105.05 and 90.00 degrees. The distinct sites, in fractional coordinates, are K at (0.000, 0.000, 0.000), Ca at (0.135, 0.500, 0.133), In at (0.000, 0.324, 0.500) and In at (0.182, 0.182, 0.681).

The electronic total energy comes out at -0.097 hartree per atom. As for the density of states at the Fermi level: 5.66 states/eV/cell. The value obtained for the formation energy is -0.25 eV per atom. The calculation puts the size of the total moment at 0.000 μB/cell.

7.
V4ReGe4: relaxed, PBE.

The space group is I4/m (No. 87) and the conventional cell measures 7.449, 7.449 and 4.861 Å, with angles of 90.00, 90.00 and 90.00 degrees. The distinct sites, in fractional coordinates, are V at (0.118, 0.793, 0.000), Re at (0.000, 0.000, 0.500) and Ge at (0.055, 0.664, 0.500).

The electronic total energy comes out at -0.268 hartree per atom. As for the density of states at the Fermi level: 17.71 states/eV/cell. The value obtained for the formation energy is 0.18 eV per atom. The calculation puts the size of the total moment at 0.015 μB/cell.

8.
La2NpAs3Pt4: relaxed, PBE.

The space group is P-4m2 (No. 115) and the conventional cell measures 4.330, 4.330 and 11.404 Å, with angles of 90.00, 90.00 and 90.00 degrees. The distinct sites, in fractional coordinates, are La at (0.000, 0.500, 0.220), Np at (0.000, 0.000, 0.500), As at (0.000, 0.500, 0.877), As at (0.500, 0.500, 0.500), Pt at (0.000, 0.000, 0.000), Pt at (0.000, 0.500, 0.660) and Pt at (0.500, 0.500, 0.000).

The electronic total energy comes out at -0.255 hartree per atom. As for the density of states at the Fermi level: 9.56 states/eV/cell. The value obtained for the formation energy is -0.84 eV per atom. The calculation puts the size of the total moment at 4.130 μB/cell.